[1]
A plane-wave DFT calculation with PBE-GGA was carried out for a relaxed structure of La2ZnReSi.

```
data_La2ZnReSi
_cell_length_a 5.5712
_cell_length_b 4.2360
_cell_length_c 5.5712
_cell_angle_alpha 90.00
_cell_angle_beta 90.00
_cell_angle_gamma 90.00
_symmetry_space_group_name_H-M 'P 1'
_symmetry_Int_Tables_number 1
loop_
_symmetry_equiv_pos_as_xyz
'x,y,z'
loop_
_atom_site_label
_atom_site_type_symbol
_atom_site_fract_x
_atom_site_fract_y
_atom_site_fract_z
_atom_site_occupancy
Re1 Re 0.5000 0.5000 0.5000 1
La1 La 0.5000 0.0000 0.0000 1
La2 La 0.0000 0.0000 0.5000 1
Si1 Si 0.0000 0.5000 0.0000 1
Zn1 Zn 0.0000 0.0000 0.0000 1
```

Properties
As for the electronic total energy: -4.9703 eV/atom.



[2]
A plane-wave DFT calculation with PBE-GGA was carried out for a relaxed structure of Ba2NdIn2Bi4.

```
data_Ba2NdIn2Bi4
_cell_length_a 4.9911
_cell_length_b 8.0962
_cell_length_c 9.0783
_cell_angle_alpha 110.52
_cell_angle_beta 105.96
_cell_angle_gamma 90.00
_symmetry_space_group_name_H-M 'P 1'
_symmetry_Int_Tables_number 1
loop_
_symmetry_equiv_pos_as_xyz
'x,y,z'
loop_
_atom_site_label
_atom_site_type_symbol
_atom_site_fract_x
_atom_site_fract_y
_atom_site_fract_z
_atom_site_occupancy
Bi1 Bi 0.5160 0.2792 0.0320 1
Bi2 Bi 0.4840 0.7208 0.9680 1
Bi3 Bi 0.2021 0.2169 0.4042 1
Bi4 Bi 0.7979 0.7831 0.5958 1
In1 In 0.6627 0.9814 0.3253 1
In2 In 0.3373 0.0186 0.6747 1
Nd1 Nd 0.0000 0.0000 0.0000 1
Ba1 Ba 0.1309 0.6097 0.2618 1
Ba2 Ba 0.8691 0.3903 0.7382 1
```

Properties
As for the electronic total energy: -3.8914 eV/atom.



[3]
A plane-wave DFT calculation with PBE-GGA was carried out for a relaxed structure of Sc2NiIr.

```
data_Sc2NiIr
_cell_length_a 5.3008
_cell_length_b 5.3008
_cell_length_c 5.3008
_cell_angle_alpha 137.84
_cell_angle_beta 137.84
_cell_angle_gamma 61.15
_symmetry_space_group_name_H-M 'P 1'
_symmetry_Int_Tables_number 1
loop_
_symmetry_equiv_pos_as_xyz
'x,y,z'
loop_
_atom_site_label
_atom_site_type_symbol
_atom_site_fract_x
_atom_site_fract_y
_atom_site_fract_z
_atom_site_occupancy
Ni1 Ni 0.7500 0.2500 0.5000 1
Sc1 Sc 0.0000 0.0000 0.0000 1
Sc2 Sc 0.2500 0.7500 0.5000 1
Ir1 Ir 0.5000 0.5000 0.0000 1
```

Properties
Its energy above the most stable polymorph in this dataset is 0.222 eV/atom.



[4]
A plane-wave DFT calculation with PBE-GGA was carried out for a relaxed structure of Tl2TcOs.

```
data_Tl2TcOs
_cell_length_a 9.1101
_cell_length_b 9.1101
_cell_length_c 9.1101
_cell_angle_alpha 19.55
_cell_angle_beta 19.55
_cell_angle_gamma 19.55
_symmetry_space_group_name_H-M 'P 1'
_symmetry_Int_Tables_number 1
loop_
_symmetry_equiv_pos_as_xyz
'x,y,z'
loop_
_atom_site_label
_atom_site_type_symbol
_atom_site_fract_x
_atom_site_fract_y
_atom_site_fract_z
_atom_site_occupancy
Tl1 Tl 0.9999 0.9999 0.9999 1
Tl2 Tl 0.5001 0.5001 0.5001 1
Os1 Os 0.2500 0.2500 0.2500 1
Tc1 Tc 0.7500 0.7500 0.7500 1
```

Properties
Its energy above the most stable polymorph in this dataset is 0.573 eV/atom.